The following is a PBE with a Hubbard U calculation of a geometry-optimized LiHfMnO4 structure, from Alexandria via LeMat-Bulk.

Properties
- Raw total energy: -7.929 eV per atom
- Theoretical density: 6.3 g cm⁻³

abc: 6.0872 6.0872 6.0872
angles: 121.24 117.22 91.37
Fractional positions:
Li (0.3716, 0.1216, 0.2500)
Li (0.6284, 0.8784, 0.7500)
Hf (0.0000, 0.5000, 0.5000)
Hf (0.5000, 0.5000, 0.0000)
Mn (0.0000, 0.0000, 0.5000)
Mn (0.0000, 0.5000, 0.0000)
O (0.2073, 0.7444, 0.4629)
O (0.2186, 0.2556, 0.9629)
O (0.2410, 0.2630, 0.5221)
O (0.2410, 0.7189, 0.9779)
O (0.7590, 0.2811, 0.0221)
O (0.7590, 0.7370, 0.4779)
O (0.7814, 0.7444, 0.0371)
O (0.7927, 0.2556, 0.5371)